# 1
! ScAgCl2, relaxed, DFT PBE; values from VASP
! Raw formation energy in eV per atom: -0.645
! Polymorph energy (0 for the lowest one) in meV per atom: 495
&SYSTEM
  ibrav = 0, nat = 4, ntyp = 3
/
ATOMIC_SPECIES
Cl 35.45 Cl.upf
Ag 107.87 Ag.upf
Sc 44.96 Sc.upf
CELL_PARAMETERS angstrom
3.515 0.000 0.000
0.000 5.694 0.000
0.000 0.000 4.075
ATOMIC_POSITIONS crystal
Cl 0.500 0.500 0.000
Ag 0.000 0.500 0.500
Cl 0.000 0.000 0.000
Sc 0.500 0.000 0.500

=====

# 2
! Sc2Ag5Cl12, relaxed, DFT PBE; values from VASP
! Raw formation energy in eV per atom: -1.110
&SYSTEM
  ibrav = 0, nat = 19, ntyp = 3
/
ATOMIC_SPECIES
Cl 35.45 Cl.upf
Ag 107.87 Ag.upf
Sc 44.96 Sc.upf
CELL_PARAMETERS angstrom
-0.975 7.131 -1.499
-0.793 -5.156 -5.984
-8.733 -0.277 4.365
ATOMIC_POSITIONS crystal
Cl 0.045 0.091 0.853
Ag 0.723 0.447 0.704
Cl 0.456 0.911 0.151
Cl 0.569 0.658 0.850
Cl 0.911 0.342 0.150
Cl 0.544 0.089 0.849
Cl 0.625 0.737 0.467
Cl 0.955 0.909 0.147
Cl 0.375 0.263 0.533
Ag 0.706 0.413 0.382
Cl 0.113 0.737 0.467
Cl 0.887 0.263 0.533
Cl 0.431 0.342 0.150
Sc 0.249 0.000 0.000
Cl 0.089 0.658 0.850
Ag 0.294 0.587 0.618
Ag 0.277 0.553 0.296
Sc 0.751 0.000 0.000
Ag 0.000 0.000 0.500

=====

> The highest raw formation energy belongs to which entry?

ScAgCl2

=====

> Look up the raw formation energy of the second one.

-1.110 eV per atom